(1)
CrCo2Se: relaxed, PBE.

It has space group Imm2 (No. 44), with a = 3.3971 Å, b = 3.8898 Å, c = 7.4216 Å, α = 90.00°, β = 90.00° and γ = 90.00°. The asymmetric unit holds Cr at (0.0000, 0.0000, 0.0000), Co at (0.0000, 0.0000, 0.4600), Co at (0.0000, 0.5000, 0.2275) and Se at (0.0000, 0.5000, 0.7437).

Its density of states at the Fermi level is 1.10 states/eV per atom. The calculated total energy comes out at -6.573 eV/atom. The value obtained for the total magnetization is 1.1 μB per formula unit.

(2)
CaOsO2F: relaxed, PBE.

It has space group P4/mmm (No. 123), with a = 4.3743 Å, b = 4.3743 Å, c = 4.0986 Å, α = 90.00°, β = 90.00° and γ = 90.00°. The asymmetric unit holds Ca at (0.0000, 0.0000, 0.0000), Os at (0.5000, 0.5000, 0.5000), O at (0.0000, 0.5000, 0.0000) and F at (0.0000, 0.0000, 0.5000).

Its density of states at the Fermi level is 0.43 states/eV per atom. The calculated total energy comes out at -5.161 eV/atom. The value obtained for the total magnetization is 5.1 μB per formula unit.

(3)
BaAsPdO6: relaxed, PBE.

It has space group P312 (No. 149), with a = 5.1521 Å, b = 5.1521 Å, c = 5.8735 Å, α = 90.00°, β = 90.00° and γ = 120.00°. The asymmetric unit holds Ba at (0.0000, 0.0000, 0.0000), As at (0.6667, 0.3333, 0.5000), Pd at (0.3333, 0.6667, 0.5000) and O at (0.3934, 0.0208, 0.6848).

Its density of states at the Fermi level is 0.69 states/eV per atom. The calculated total energy comes out at -5.904 eV/atom. The value obtained for the total magnetization is 0.6 μB per formula unit.

(4)
TcB2Rh2: relaxed, PBE.

It has space group P4/mbm (No. 127), with a = 6.3890 Å, b = 6.3890 Å, c = 2.6792 Å, α = 90.00°, β = 90.00° and γ = 90.00°. The asymmetric unit holds Tc at (0.0000, 0.0000, 0.0000), B at (0.1527, 0.3473, 0.0000) and Rh at (0.1517, 0.6517, 0.5000).

Its density of states at the Fermi level is 0.78 states/eV per atom. The calculation puts the formation energy from the elements at -0.05 eV/atom. The value obtained for the total magnetization is 0.0 μB per formula unit.